# PmYIn

An optimized crystal structure of PmYIn (GGA-PBE, Alexandria).

Structure (CIF):
```
data_PmYIn
_chemical_formula_sum 'Pm4 Y4 In4'
_space_group_name_H-M_alt 'C m c m'
_space_group_IT_number 63
_space_group_name_Hall '-C 2c 2'
_cell_length_a 4.846
_cell_length_b 11.077
_cell_length_c 6.725
_cell_angle_alpha 90.00
_cell_angle_beta 90.00
_cell_angle_gamma 90.00
loop_
_atom_site_label
_atom_site_type_symbol
_atom_site_fract_x
_atom_site_fract_y
_atom_site_fract_z
Pm1 Pm 0.000 0.186 0.250
Y1 Y 0.000 0.098 0.750
In1 In 0.000 0.500 0.000
```

Calculated values
V: 361.01 Å³ per cell
total magnetic moment: 0.00 Bohr magnetons per cell
E above lowest polymorph: 222.4 meV per atom
VASP energy: -57.60 eV per cell



# ZnGeAs2Os

An optimized crystal structure of ZnGeAs2Os (GGA-PBE, Alexandria).

Structure (CIF):
```
data_ZnGeAs2Os
_chemical_formula_sum 'Zn1 Ge1 As2 Os1'
_space_group_name_H-M_alt 'P 4/m m m'
_space_group_IT_number 123
_space_group_name_Hall '-P 4 2'
_cell_length_a 4.872
_cell_length_b 4.872
_cell_length_c 4.657
_cell_angle_alpha 90.00
_cell_angle_beta 90.00
_cell_angle_gamma 90.00
loop_
_atom_site_label
_atom_site_type_symbol
_atom_site_fract_x
_atom_site_fract_y
_atom_site_fract_z
Zn1 Zn 0.000 0.000 0.000
Ge1 Ge 0.500 0.500 0.500
As1 As 0.000 0.500 0.500
Os1 Os 0.500 0.500 0.000
```

Calculated values
V: 110.54 Å³ per cell
total magnetic moment: 0.00 Bohr magnetons per cell
VASP energy: -19.91 eV per cell



# NaSb3Rh3

An optimized crystal structure of NaSb3Rh3 (GGA-PBE, Alexandria).

Structure (CIF):
```
data_NaSb3Rh3
_chemical_formula_sum 'Na6 Sb18 Rh18'
_space_group_name_H-M_alt 'R -3'
_space_group_IT_number 148
_space_group_name_Hall '-R 3'
_cell_length_a 7.0413
_cell_length_b 7.0413
_cell_length_c 22.9636
_cell_angle_alpha 90.00
_cell_angle_beta 90.00
_cell_angle_gamma 120.00
loop_
_atom_site_label
_atom_site_type_symbol
_atom_site_fract_x
_atom_site_fract_y
_atom_site_fract_z
Na1 Na 0.0000 0.0000 0.1801
Sb1 Sb 0.0217 0.6133 0.2579
Rh1 Rh 0.0178 0.7515 0.7049
```

Calculated values
V: 986.00 Å³ per cell
total magnetic moment: 0.00 Bohr magnetons per cell
VASP energy: -226.66 eV per cell



# OsRhI2O

An optimized crystal structure of OsRhI2O (GGA-PBE, Alexandria).

Structure (CIF):
```
data_OsRhI2O
_chemical_formula_sum 'Os1 Rh1 I2 O1'
_space_group_name_H-M_alt 'P 4/m m m'
_space_group_IT_number 123
_space_group_name_Hall '-P 4 2'
_cell_length_a 5.416
_cell_length_b 5.416
_cell_length_c 3.630
_cell_angle_alpha 90.00
_cell_angle_beta 90.00
_cell_angle_gamma 90.00
loop_
_atom_site_label
_atom_site_type_symbol
_atom_site_fract_x
_atom_site_fract_y
_atom_site_fract_z
Os1 Os 0.000 0.000 0.000
Rh1 Rh 0.500 0.500 0.500
I1 I 0.000 0.500 0.500
O1 O 0.500 0.500 0.000
```

Calculated values
V: 106.50 Å³ per cell
total magnetic moment: 0.77 Bohr magnetons per cell
E above lowest polymorph: 499.8 meV per atom
VASP energy: -21.84 eV per cell



# HoScNi

An optimized crystal structure of HoScNi (GGA-PBE, Alexandria).

Structure (CIF):
```
data_HoScNi
_chemical_formula_sum 'Ho6 Sc6 Ni6'
_space_group_name_H-M_alt 'P 62 2 2'
_space_group_IT_number 180
_space_group_name_Hall 'P 62 2 (0 0 4)'
_cell_length_a 6.3475
_cell_length_b 6.3475
_cell_length_c 11.3287
_cell_angle_alpha 90.00
_cell_angle_beta 90.00
_cell_angle_gamma 120.00
loop_
_atom_site_label
_atom_site_type_symbol
_atom_site_fract_x
_atom_site_fract_y
_atom_site_fract_z
Ho1 Ho 0.0000 0.0000 0.0000
Ho2 Ho 0.0000 0.5000 0.1667
Sc1 Sc 0.0000 0.5000 0.4611
Ni1 Ni 0.2248 0.6124 0.6667
```

Calculated values
V: 395.29 Å³ per cell
total magnetic moment: 0.00 Bohr magnetons per cell
E above lowest polymorph: 89.2 meV per atom
VASP energy: -104.46 eV per cell



# Mg10In6Ga

An optimized crystal structure of Mg10In6Ga (GGA-PBE, Alexandria).

Structure (CIF):
```
data_Mg10In6Ga
_chemical_formula_sum 'Mg10 In6 Ga1'
_space_group_name_H-M_alt 'P -3 1 m'
_space_group_IT_number 162
_space_group_name_Hall '-P 3 2'
_cell_length_a 8.6851
_cell_length_b 8.6851
_cell_length_c 6.1235
_cell_angle_alpha 90.00
_cell_angle_beta 90.00
_cell_angle_gamma 120.00
loop_
_atom_site_label
_atom_site_type_symbol
_atom_site_fract_x
_atom_site_fract_y
_atom_site_fract_z
Mg1 Mg 0.0000 0.2626 0.2867
Mg2 Mg 0.3333 0.6667 0.0000
Mg3 Mg 0.3333 0.6667 0.5000
In1 In 0.0000 0.3857 0.7651
Ga1 Ga 0.0000 0.0000 0.0000
```

Calculated values
V: 400.02 Å³ per cell
total magnetic moment: 0.00 Bohr magnetons per cell
VASP energy: -36.15 eV per cell



# NiHgCl2

An optimized crystal structure of NiHgCl2 (GGA-PBE, Alexandria).

Structure (CIF):
```
data_NiHgCl2
_chemical_formula_sum 'Ni4 Hg4 Cl8'
_space_group_name_H-M_alt 'F -4 3 m'
_space_group_IT_number 216
_space_group_name_Hall 'F -4 2 3'
_cell_length_a 6.803
_cell_length_b 6.803
_cell_length_c 6.803
_cell_angle_alpha 90.00
_cell_angle_beta 90.00
_cell_angle_gamma 90.00
loop_
_atom_site_label
_atom_site_type_symbol
_atom_site_fract_x
_atom_site_fract_y
_atom_site_fract_z
Ni1 Ni 0.000 0.000 0.000
Hg1 Hg 0.250 0.250 0.250
Cl1 Cl 0.000 0.000 0.500
Cl2 Cl 0.250 0.250 0.750
```

Calculated values
V: 314.84 Å³ per cell
total magnetic moment: 1.91 Bohr magnetons per cell
E above lowest polymorph: 853.4 meV per atom
VASP energy: -32.29 eV per cell



# HoPuSiAg

An optimized crystal structure of HoPuSiAg (GGA-PBE, Alexandria).

Structure (CIF):
```
data_HoPuSiAg
_chemical_formula_sum 'Ho4 Pu4 Si4 Ag4'
_space_group_name_H-M_alt 'F -4 3 m'
_space_group_IT_number 216
_space_group_name_Hall 'F -4 2 3'
_cell_length_a 7.149
_cell_length_b 7.149
_cell_length_c 7.149
_cell_angle_alpha 90.00
_cell_angle_beta 90.00
_cell_angle_gamma 90.00
loop_
_atom_site_label
_atom_site_type_symbol
_atom_site_fract_x
_atom_site_fract_y
_atom_site_fract_z
Ho1 Ho 0.000 0.000 0.000
Pu1 Pu 0.000 0.000 0.500
Si1 Si 0.250 0.250 0.750
Ag1 Ag 0.250 0.250 0.250
```

Calculated values
V: 365.34 Å³ per cell
total magnetic moment: 24.90 Bohr magnetons per cell
VASP energy: -113.04 eV per cell



# Ce4Ir2I5

An optimized crystal structure of Ce4Ir2I5 (GGA-PBE, Alexandria).

Structure (CIF):
```
data_Ce4Ir2I5
_chemical_formula_sum 'Ce8 Ir4 I10'
_space_group_name_H-M_alt 'C 1 2/m 1'
_space_group_IT_number 12
_cell_length_a 23.517
_cell_length_b 4.180
_cell_length_c 8.856
_cell_angle_alpha 90.00
_cell_angle_beta 94.60
_cell_angle_gamma 90.00
loop_
_space_group_symop_operation_xyz
'x,y,z'
'-x,-y,-z'
'-x,y,-z'
'x,-y,z'
'x+1/2,y+1/2,z'
'-x+1/2,-y+1/2,-z'
'-x+1/2,y+1/2,-z'
'x+1/2,-y+1/2,z'
loop_
_atom_site_label
_atom_site_type_symbol
_atom_site_fract_x
_atom_site_fract_y
_atom_site_fract_z
Ce1 Ce 0.019 0.000 0.203
Ce2 Ce 0.160 0.500 0.066
Ir1 Ir 0.056 0.500 0.004
I1 I 0.000 0.500 0.500
I2 I 0.154 0.000 0.343
I3 I 0.199 0.000 0.818
```

Calculated values
V: 867.75 Å³ per cell
total magnetic moment: 7.50 Bohr magnetons per cell
VASP energy: -119.04 eV per cell



# ZrCdC2

An optimized crystal structure of ZrCdC2 (GGA-PBE, Alexandria).

Structure (CIF):
```
data_ZrCdC2
_chemical_formula_sum 'Zr4 Cd4 C8'
_space_group_name_H-M_alt 'I -4 2 d'
_space_group_IT_number 122
_space_group_name_Hall 'I -4 2bw'
_cell_length_a 5.179
_cell_length_b 5.179
_cell_length_c 10.249
_cell_angle_alpha 90.00
_cell_angle_beta 90.00
_cell_angle_gamma 90.00
loop_
_atom_site_label
_atom_site_type_symbol
_atom_site_fract_x
_atom_site_fract_y
_atom_site_fract_z
Zr1 Zr 0.000 0.000 0.000
Cd1 Cd 0.000 0.000 0.500
C1 C 0.230 0.250 0.125
```

Calculated values
V: 274.89 Å³ per cell
total magnetic moment: 0.00 Bohr magnetons per cell
VASP energy: -95.46 eV per cell



# NaZn6Au4

An optimized crystal structure of NaZn6Au4 (GGA-PBE, Alexandria).

Structure (CIF):
```
data_NaZn6Au4
_chemical_formula_sum 'Na1 Zn6 Au4'
_space_group_name_H-M_alt 'P -6 m 2'
_space_group_IT_number 187
_space_group_name_Hall 'P -6 2'
_cell_length_a 7.5886
_cell_length_b 7.5886
_cell_length_c 4.0926
_cell_angle_alpha 90.00
_cell_angle_beta 90.00
_cell_angle_gamma 120.00
loop_
_atom_site_label
_atom_site_type_symbol
_atom_site_fract_x
_atom_site_fract_y
_atom_site_fract_z
Na1 Na 0.0000 0.0000 0.0000
Zn1 Zn 0.1990 0.3979 0.5000
Zn2 Zn 0.5342 0.0684 0.0000
Au1 Au 0.3333 0.6667 0.0000
Au2 Au 0.3953 0.1977 0.5000
```

Calculated values
V: 204.10 Å³ per cell
total magnetic moment: 0.00 Bohr magnetons per cell
VASP energy: -24.27 eV per cell



# DySc2Co

An optimized crystal structure of DySc2Co (GGA-PBE, Alexandria).

Structure (CIF):
```
data_DySc2Co
_chemical_formula_sum 'Dy1 Sc2 Co1'
_space_group_name_H-M_alt 'P 4/m m m'
_space_group_IT_number 123
_space_group_name_Hall '-P 4 2'
_cell_length_a 3.205
_cell_length_b 3.205
_cell_length_c 8.364
_cell_angle_alpha 90.00
_cell_angle_beta 90.00
_cell_angle_gamma 90.00
loop_
_atom_site_label
_atom_site_type_symbol
_atom_site_fract_x
_atom_site_fract_y
_atom_site_fract_z
Dy1 Dy 0.000 0.000 0.000
Sc1 Sc 0.500 0.500 0.320
Co1 Co 0.000 0.000 0.500
```

Calculated values
V: 85.91 Å³ per cell
total magnetic moment: 0.51 Bohr magnetons per cell
E above lowest polymorph: 60.8 meV per atom
VASP energy: -24.92 eV per cell



Q: What is the formula in the ninth record?
A: Ce4Ir2I5



Please write out number 6 again, unchanged.
# Mg10In6Ga

An optimized crystal structure of Mg10In6Ga (GGA-PBE, Alexandria).

Structure (CIF):
```
data_Mg10In6Ga
_chemical_formula_sum 'Mg10 In6 Ga1'
_space_group_name_H-M_alt 'P -3 1 m'
_space_group_IT_number 162
_space_group_name_Hall '-P 3 2'
_cell_length_a 8.6851
_cell_length_b 8.6851
_cell_length_c 6.1235
_cell_angle_alpha 90.00
_cell_angle_beta 90.00
_cell_angle_gamma 120.00
loop_
_atom_site_label
_atom_site_type_symbol
_atom_site_fract_x
_atom_site_fract_y
_atom_site_fract_z
Mg1 Mg 0.0000 0.2626 0.2867
Mg2 Mg 0.3333 0.6667 0.0000
Mg3 Mg 0.3333 0.6667 0.5000
In1 In 0.0000 0.3857 0.7651
Ga1 Ga 0.0000 0.0000 0.0000
```

Calculated values
V: 400.02 Å³ per cell
total magnetic moment: 0.00 Bohr magnetons per cell
VASP energy: -36.15 eV per cell



Q: The lowest V belongs to which entry?
A: DySc2Co



Q: What is the V in the seventh record?
A: 314.84 Å³ per cell